[1]
Sm3CdGa2 | PBE | relaxed

The space group is P-3m1 (No. 164) and the conventional cell measures 5.2438, 5.2438 and 12.8369 Å, with angles of 90.00, 90.00 and 120.00 degrees. The distinct sites, in fractional coordinates, are Sm at (0.0000, 0.0000, 0.2401), Sm at (0.3333, 0.6667, 0.4172), Sm at (0.3333, 0.6667, 0.9253), Cd at (0.3333, 0.6667, 0.6716), Ga at (0.0000, 0.0000, 0.0000), Ga at (0.0000, 0.0000, 0.5000) and Ga at (0.3333, 0.6667, 0.1744).

As for the energy: -4.006 eV/atom.

[2]
NaInTe2 | PBE | relaxed

The space group is P1 (No. 1) and the conventional cell measures 4.4137, 4.4175 and 7.4962 Å, with angles of 79.75, 79.70 and 72.70 degrees. The distinct sites, in fractional coordinates, are Na at (0.0000, 0.0000, 0.0000), In at (0.2613, 0.7374, 0.5006), Te at (0.3488, 0.2815, 0.2549) and Te at (0.7166, 0.6502, 0.7466).

The formation energy from raw total energies comes out at -553.2 meV per atom. As for the energy: -3.138 eV/atom.

[3]
TcMo2P | PBE | relaxed

The space group is Pm (No. 6) and the conventional cell measures 2.8855, 4.2993 and 4.9627 Å, with angles of 90.00, 105.59 and 90.00 degrees. The distinct sites, in fractional coordinates, are Tc at (0.0000, 0.0000, 0.0000), Mo at (0.4290, 0.0000, 0.5133), Mo at (0.6476, 0.5000, 0.2393) and P at (0.9457, 0.5000, 0.7642).

As for the energy: -9.435 eV/atom.

[4]
Th2Tc12P7 | PBE | relaxed

The space group is P-6 (No. 174) and the conventional cell measures 9.6238, 9.6238 and 3.9812 Å, with angles of 90.00, 90.00 and 120.00 degrees. The distinct sites, in fractional coordinates, are Th at (0.0000, 0.0000, 0.0000), Th at (0.3333, 0.6667, 0.5000), Tc at (0.0543, 0.2896, 0.5000), Tc at (0.0968, 0.7112, 0.0000), Tc at (0.3938, 0.1805, 0.0000), Tc at (0.5484, 0.4272, 0.5000), P at (0.0721, 0.4517, 0.0000), P at (0.2694, 0.2213, 0.5000) and P at (0.6667, 0.3333, 0.0000).

As for the energy: -9.048 eV/atom.